Record 1
A plane-wave DFT calculation with PBE was carried out for a relaxed structure of TlReB.

Space group   F-43m, No. 216
E_tot   -0.4298 Ry per atom

abc: 4.008 4.008 4.008
angles: 60.00 60.00 60.00
Fractional positions:
B 0.000 0.000 0.000
Re 0.250 0.250 0.250
Tl 0.750 0.750 0.750

***

Record 2
A plane-wave DFT calculation with PBE was carried out for a relaxed structure of Tm3ReB7.

Space group   Cmcm, No. 63
E_tot   -0.5338 Ry per atom

abc: 3.493 7.977 9.255
angles: 90.00 90.00 77.35
Fractional positions:
B 0.273 0.455 0.034
B 0.480 0.040 0.094
B 0.367 0.265 0.150
B 0.545 0.909 0.250
B 0.367 0.265 0.350
B 0.480 0.040 0.406
B 0.273 0.455 0.466
B 0.727 0.545 0.534
B 0.520 0.960 0.594
B 0.633 0.735 0.650
B 0.455 0.091 0.750
B 0.633 0.735 0.850
B 0.520 0.960 0.906
B 0.727 0.545 0.966
Re 0.947 0.106 0.250
Re 0.053 0.894 0.750
Tm 0.106 0.789 0.060
Tm 0.757 0.486 0.250
Tm 0.106 0.789 0.440
Tm 0.894 0.211 0.560
Tm 0.243 0.514 0.750
Tm 0.894 0.211 0.940

***

Record 3
A plane-wave DFT calculation with PBE was carried out for a relaxed structure of TmReB.

Space group   F-43m, No. 216
E_tot   -0.5583 Ry per atom

abc: 4.063 4.063 4.063
angles: 60.00 60.00 60.00
Site moments in Bohr magnetons follow the coordinates.
Fractional positions:
B 0.000 0.000 0.000  0.00
Re 0.250 0.250 0.250  0.20
Tm 0.750 0.750 0.750  0.02

***

Record 4
A plane-wave DFT calculation with PBE was carried out for a relaxed structure of TmReB.

Space group   F-43m, No. 216
E_tot   -0.4308 Ry per atom

abc: 4.360 4.360 4.360
angles: 60.00 60.00 60.00
Fractional positions:
B 0.250 0.250 0.250
Re 0.750 0.750 0.750
Tm 0.000 0.000 0.000

***

Record 5
A plane-wave DFT calculation with PBE was carried out for a relaxed structure of Re2B2W.

Space group   I4/mmm, No. 139
E_tot   -0.7282 Ry per atom

abc: 5.134 5.134 5.134
angles: 137.81 137.81 61.20
Fractional positions:
B 0.401 0.401 0.000
B 0.599 0.599 0.000
Re 0.750 0.250 0.500
Re 0.250 0.750 0.500
W 0.000 0.000 0.000

***

Record 6
A plane-wave DFT calculation with PBE was carried out for a relaxed structure of ReB4W.

Space group   P6/mmm, No. 191
E_tot   -0.6324 Ry per atom

abc: 2.974 2.974 6.900
angles: 90.00 90.00 120.00
Fractional positions:
B 0.667 0.333 0.251
B 0.333 0.667 0.251
B 0.667 0.333 0.749
B 0.333 0.667 0.749
Re 0.000 0.000 0.000
W 0.000 0.000 0.500

***

Record 7
A plane-wave DFT calculation with PBE was carried out for a relaxed structure of ReB4W.

Space group   Immm, No. 71
E_tot   -0.6325 Ry per atom

abc: 4.558 4.558 4.558
angles: 141.83 111.25 81.45
Fractional positions:
B 0.581 0.249 0.333
B 0.084 0.751 0.333
B 0.916 0.249 0.667
B 0.419 0.751 0.667
Re 0.000 0.000 0.000
W 0.500 0.500 0.000

***

Record 8
A plane-wave DFT calculation with PBE was carried out for a relaxed structure of YReB.

Space group   F-43m, No. 216
E_tot   -0.5976 Ry per atom

abc: 4.115 4.115 4.115
angles: 60.00 60.00 60.00
Fractional positions:
B 0.000 0.000 0.000
Re 0.250 0.250 0.250
Y 0.750 0.750 0.750

***

Record 9
A plane-wave DFT calculation with PBE was carried out for a relaxed structure of YReB.

Space group   F-43m, No. 216
E_tot   -0.4725 Ry per atom

abc: 4.420 4.420 4.420
angles: 60.00 60.00 60.00
Site moments in Bohr magnetons follow the coordinates.
Fractional positions:
B 0.500 0.500 0.500  -0.07
Re 0.000 0.000 0.000  1.20
Y 0.250 0.250 0.250  0.03

***

Record 10
A plane-wave DFT calculation with PBE was carried out for a relaxed structure of YRe2B2.

Space group   I4/mmm, No. 139
E_tot   -0.6742 Ry per atom

abc: 5.584 5.584 5.584
angles: 141.28 141.28 55.91
Fractional positions:
B 0.398 0.398 0.000
B 0.602 0.602 0.000
Re 0.750 0.250 0.500
Re 0.250 0.750 0.500
Y 0.000 0.000 0.000

***

Record 11
A plane-wave DFT calculation with PBE was carried out for a relaxed structure of YReB4.

Space group   Immm, No. 71
E_tot   -0.5770 Ry per atom

abc: 4.709 4.709 4.709
angles: 140.92 110.31 82.91
Fractional positions:
B 0.585 0.249 0.336
B 0.088 0.751 0.336
B 0.912 0.249 0.664
B 0.415 0.751 0.664
Re 0.500 0.500 0.000
Y 0.000 0.000 0.000

***

Record 12
A plane-wave DFT calculation with PBE was carried out for a relaxed structure of Y3ReB7.

Space group   Cmcm, No. 63
E_tot   -0.5694 Ry per atom

abc: 8.094 8.094 9.355
angles: 90.00 90.00 154.77
Fractional positions:
B 0.773 0.227 0.034
B 0.979 0.021 0.095
B 0.868 0.132 0.150
B 0.043 0.957 0.250
B 0.868 0.132 0.350
B 0.979 0.021 0.405
B 0.773 0.227 0.466
B 0.227 0.773 0.534
B 0.021 0.979 0.595
B 0.132 0.868 0.650
B 0.957 0.043 0.750
B 0.132 0.868 0.850
B 0.021 0.979 0.905
B 0.227 0.773 0.966
Re 0.447 0.553 0.250
Re 0.553 0.447 0.750
Y 0.605 0.395 0.060
Y 0.258 0.742 0.250
Y 0.605 0.395 0.440
Y 0.395 0.605 0.560
Y 0.742 0.258 0.750
Y 0.395 0.605 0.940

***

Record 13
A plane-wave DFT calculation with PBE was carried out for a relaxed structure of YReB2.

Space group   F-43m, No. 216
E_tot   -0.4804 Ry per atom

abc: 4.266 4.266 4.266
angles: 60.00 60.00 60.00
Fractional positions:
B 0.000 0.000 0.000
B 0.750 0.750 0.750
Re 0.500 0.500 0.500
Y 0.250 0.250 0.250

***

Record 14
A plane-wave DFT calculation with PBE was carried out for a relaxed structure of YReB4.

Space group   Pbam, No. 55
E_tot   -0.6010 Ry per atom

abc: 5.973 11.553 3.611
angles: 90.00 90.00 90.00
Fractional positions:
B 0.137 0.032 0.500
B 0.614 0.047 0.500
B 0.213 0.185 0.500
B 0.524 0.192 0.500
B 0.024 0.308 0.500
B 0.713 0.315 0.500
B 0.114 0.453 0.500
B 0.637 0.468 0.500
B 0.363 0.532 0.500
B 0.886 0.547 0.500
B 0.287 0.685 0.500
B 0.976 0.692 0.500
B 0.476 0.808 0.500
B 0.787 0.815 0.500
B 0.386 0.953 0.500
B 0.863 0.968 0.500
Re 0.368 0.087 0.000
Re 0.868 0.413 0.000
Re 0.132 0.587 0.000
Re 0.632 0.913 0.000
Y 0.874 0.150 0.000
Y 0.374 0.350 0.000
Y 0.626 0.650 0.000
Y 0.126 0.850 0.000

***

Record 15
A plane-wave DFT calculation with PBE was carried out for a relaxed structure of YRe2B.

Space group   F-43m, No. 216
E_tot   -0.6451 Ry per atom

abc: 4.431 4.431 4.431
angles: 60.00 60.00 60.00
Fractional positions:
B 0.500 0.500 0.500
Re 0.000 0.000 0.000
Re 0.750 0.750 0.750
Y 0.250 0.250 0.250

***

Record 16
A plane-wave DFT calculation with PBE was carried out for a relaxed structure of Y3ReB7.

Space group   Cmcm, No. 63
E_tot   -0.5490 Ry per atom

abc: 3.641 7.785 10.085
angles: 90.00 90.00 76.48
Fractional positions:
B 0.449 0.103 0.054
B 0.552 0.895 0.115
B 0.343 0.313 0.160
B 0.619 0.763 0.250
B 0.343 0.313 0.340
B 0.552 0.895 0.385
B 0.449 0.103 0.446
B 0.551 0.897 0.554
B 0.448 0.105 0.615
B 0.657 0.687 0.660
B 0.381 0.237 0.750
B 0.657 0.687 0.840
B 0.448 0.105 0.885
B 0.551 0.897 0.946
Re 0.775 0.450 0.250
Re 0.225 0.550 0.750
Y 0.166 0.669 0.056
Y 0.971 0.058 0.250
Y 0.166 0.669 0.444
Y 0.834 0.331 0.556
Y 0.029 0.942 0.750
Y 0.834 0.331 0.944

***

Record 17
A plane-wave DFT calculation with PBE was carried out for a relaxed structure of YReB4.

Space group   P6/mmm, No. 191
E_tot   -0.5777 Ry per atom

abc: 3.142 3.142 7.022
angles: 90.00 90.00 120.00
Fractional positions:
B 0.667 0.333 0.275
B 0.333 0.667 0.275
B 0.667 0.333 0.725
B 0.333 0.667 0.725
Re 0.000 0.000 0.500
Y 0.000 0.000 0.000

***

Record 18
A plane-wave DFT calculation with PBE was carried out for a relaxed structure of ZnReB.

Space group   F-43m, No. 216
E_tot   -0.4102 Ry per atom

abc: 3.923 3.923 3.923
angles: 60.00 60.00 60.00
Fractional positions:
B 0.250 0.250 0.250
Re 0.000 0.000 0.000
Zn 0.750 0.750 0.750

***

Record 19
A plane-wave DFT calculation with PBE was carried out for a relaxed structure of ZnRe2B.

Space group   F-43m, No. 216
E_tot   -0.5479 Ry per atom

abc: 4.181 4.181 4.181
angles: 60.00 60.00 60.00
Fractional positions:
B 0.500 0.500 0.500
Re 0.000 0.000 0.000
Re 0.750 0.750 0.750
Zn 0.250 0.250 0.250

***

Record 20
A plane-wave DFT calculation with PBE was carried out for a relaxed structure of ZrReB2.

Space group   F-43m, No. 216
E_tot   -0.5446 Ry per atom

abc: 4.176 4.176 4.176
angles: 60.00 60.00 60.00
Fractional positions:
B 0.000 0.000 0.000
B 0.750 0.750 0.750
Re 0.500 0.500 0.500
Zr 0.250 0.250 0.250

***

Record 21
A plane-wave DFT calculation with PBE was carried out for a relaxed structure of ZrReB.

Space group   Pnma, No. 62
E_tot   -0.7166 Ry per atom

abc: 6.542 3.282 7.738
angles: 90.00 90.00 90.00
Fractional positions:
B 0.779 0.750 0.139
B 0.279 0.750 0.361
B 0.721 0.250 0.639
B 0.221 0.250 0.861
Re 0.146 0.750 0.058
Re 0.646 0.750 0.442
Re 0.354 0.250 0.558
Re 0.854 0.250 0.942
Zr 0.476 0.250 0.173
Zr 0.976 0.250 0.327
Zr 0.024 0.750 0.673
Zr 0.524 0.750 0.827

***

Record 22
A plane-wave DFT calculation with PBE was carried out for a relaxed structure of ZrReB4.

Space group   P6/mmm, No. 191
E_tot   -0.6104 Ry per atom

abc: 3.130 3.130 6.663
angles: 90.00 90.00 120.00
Fractional positions:
B 0.667 0.333 0.239
B 0.333 0.667 0.239
B 0.667 0.333 0.761
B 0.333 0.667 0.761
Re 0.000 0.000 0.000
Zr 0.000 0.000 0.500

***

Record 23
A plane-wave DFT calculation with PBE was carried out for a relaxed structure of ZrReB.

Space group   F-43m, No. 216
E_tot   -0.5634 Ry per atom

abc: 4.248 4.248 4.248
angles: 60.00 60.00 60.00
Fractional positions:
B 0.250 0.250 0.250
Re 0.750 0.750 0.750
Zr 0.000 0.000 0.000

***

Record 24
A plane-wave DFT calculation with PBE was carried out for a relaxed structure of Zr2ReB.

Space group   F-43m, No. 216
E_tot   -0.6339 Ry per atom

abc: 4.467 4.467 4.467
angles: 60.00 60.00 60.00
Fractional positions:
B 0.500 0.500 0.500
Re 0.250 0.250 0.250
Zr 0.000 0.000 0.000
Zr 0.750 0.750 0.750

***

Record 25
A plane-wave DFT calculation with PBE was carried out for a relaxed structure of ZrReB4.

Space group   Immm, No. 71
E_tot   -0.6126 Ry per atom

abc: 4.591 4.591 4.591
angles: 140.35 108.92 84.60
Fractional positions:
B 0.582 0.249 0.333
B 0.083 0.751 0.333
B 0.917 0.249 0.667
B 0.418 0.751 0.667
Re 0.000 0.000 0.000
Zr 0.500 0.500 0.000